1.
The following is a GGA-PBE calculation of a geometry-optimized La4Tb3MgTe8 structure, from the Alexandria database.

Cell: 8.9108 8.9108 21.9930 Å, 90.00 90.00 120.00°
Space group R-3m (No. 166, hexagonal axes)
Asymmetric unit:
La  0.0000  0.0000  0.0000 x3
La  0.0000  0.5000  0.0000 x9
Tb  0.0000  0.5000  0.5000 x9
Mg  0.0000  0.0000  0.5000 x3
Te  0.0000  0.0000  0.2450 x6
Te  0.0093  0.5046  0.2425 x18

**Magnetic moment**: 0.000 μB/f.u.
**Formation energy without anion corrections**: -1.37 eV/atom
**Uncorrected energy**: -5.14 eV per atom



2.
The following is a GGA-PBE calculation of a geometry-optimized LaTbThMg structure, from the Alexandria database.

Cell: 3.631 3.631 9.422 Å, 90.00 90.00 90.00°
Space group P4mm (No. 99)
Asymmetric unit:
La  0.000  0.000  0.000 x1
Tb  0.000  0.000  0.486 x1
Th  0.500  0.500  0.738 x1
Mg  0.500  0.500  0.256 x1

**Magnetic moment**: 0.000 μB/f.u.
**Energy above the most stable polymorph in this dataset**: 0.0 meV/atom
**Uncorrected energy**: -4.70 eV per atom



3.
The following is a GGA-PBE calculation of a geometry-optimized LaTbThMg structure, from the Alexandria database.

Cell: 7.942 7.942 7.942 Å, 90.00 90.00 90.00°
Space group F-43m (No. 216)
Asymmetric unit:
La  0.000  0.000  0.000 x4
Tb  0.250  0.250  0.250 x4
Th  0.000  0.000  0.500 x4
Mg  0.250  0.250  0.750 x4

**Magnetic moment**: 0.000 μB/f.u.
**Energy above the most stable polymorph in this dataset**: 146.4 meV/atom
**Uncorrected energy**: -4.55 eV per atom



4.
The following is a GGA-PBE calculation of a geometry-optimized La2Tb2TmMg5 structure, from the Alexandria database.

Cell: 10.625 10.625 5.107 Å, 90.00 90.00 90.00°
Space group P4/mbm (No. 127)
Asymmetric unit:
La  0.175  0.325  0.000 x4
Tb  0.122  0.622  0.000 x4
Tm  0.000  0.000  0.000 x2
Mg  0.000  0.500  0.500 x2
Mg  0.070  0.803  0.500 x8

**Magnetic moment**: 0.000 μB/f.u.
**Uncorrected energy**: -3.15 eV per atom



5.
The following is a GGA-PBE calculation of a geometry-optimized La2Tb6Tm3Mg structure, from the Alexandria database.

Cell: 6.139 10.646 11.775 Å, 90.00 100.15 90.00°
Space group C2/m (No. 12)
Asymmetric unit:
La  0.000  0.167  0.000 x4
Tb  0.247  0.500  0.744 x4
Tb  0.249  0.335  0.255 x8
Tm  0.000  0.000  0.500 x2
Tm  0.000  0.334  0.500 x4
Mg  0.000  0.500  0.000 x2

**Magnetic moment**: 0.000 μB/f.u.
**Uncorrected energy**: -4.37 eV per atom



6.
The following is a GGA-PBE calculation of a geometry-optimized La2TbTm2Mg5 structure, from the Alexandria database.

Cell: 10.635 10.635 5.095 Å, 90.00 90.00 90.00°
Space group P4/mbm (No. 127)
Asymmetric unit:
La  0.176  0.324  0.000 x4
Tb  0.000  0.000  0.000 x2
Tm  0.120  0.620  0.000 x4
Mg  0.000  0.500  0.500 x2
Mg  0.071  0.800  0.500 x8

**Magnetic moment**: 0.000 μB/f.u.
**Uncorrected energy**: -3.13 eV per atom



7.
The following is a GGA-PBE calculation of a geometry-optimized La6Tb2YMg structure, from the Alexandria database.

Cell: 10.683 13.811 9.447 Å, 90.00 98.69 90.00°
Space group C2/c (No. 15)
Asymmetric unit:
La  0.057  0.123  0.100 x8
La  0.087  0.334  0.915 x8
La  0.248  0.288  0.329 x8
Tb  0.231  0.467  0.595 x8
Y  0.000  0.429  0.250 x4
Mg  0.000  0.094  0.750 x4

**Magnetic moment**: 0.000 μB/f.u.
**Uncorrected energy**: -4.59 eV per atom



8.
The following is a GGA-PBE calculation of a geometry-optimized LaTbYMg structure, from the Alexandria database.

Cell: 7.951 7.951 7.951 Å, 90.00 90.00 90.00°
Space group F-43m (No. 216)
Asymmetric unit:
La  0.000  0.000  0.000 x4
Tb  0.250  0.250  0.250 x4
Y  0.000  0.000  0.500 x4
Mg  0.250  0.250  0.750 x4

**Magnetic moment**: 0.006 μB/f.u.
**Energy above the most stable polymorph in this dataset**: 65.0 meV/atom
**Uncorrected energy**: -4.37 eV per atom



9.
The following is a GGA-PBE calculation of a geometry-optimized La2Tb3Y6Mg structure, from the Alexandria database.

Cell: 6.186 10.722 11.854 Å, 90.00 100.09 90.00°
Space group C2/m (No. 12)
Asymmetric unit:
La  0.000  0.167  0.000 x4
Tb  0.000  0.000  0.500 x2
Tb  0.000  0.334  0.500 x4
Y  0.247  0.500  0.747 x4
Y  0.249  0.335  0.252 x8
Mg  0.000  0.500  0.000 x2

**Magnetic moment**: 0.001 μB/f.u.
**Uncorrected energy**: -5.32 eV per atom



10.
The following is a GGA-PBE calculation of a geometry-optimized La3Tb2Y6Mg structure, from the Alexandria database.

Cell: 6.225 10.789 11.860 Å, 90.00 100.11 90.00°
Space group C2/m (No. 12)
Asymmetric unit:
La  0.000  0.000  0.000 x2
La  0.000  0.334  0.000 x4
Tb  0.000  0.167  0.500 x4
Y  0.247  0.334  0.743 x8
Y  0.250  0.000  0.744 x4
Mg  0.000  0.500  0.500 x2

**Magnetic moment**: 0.000 μB/f.u.
**Uncorrected energy**: -5.34 eV per atom



11.
The following is a GGA-PBE calculation of a geometry-optimized La6TbY2Mg structure, from the Alexandria database.

Cell: 10.680 13.866 9.415 Å, 90.00 98.66 90.00°
Space group C2/c (No. 15)
Asymmetric unit:
La  0.058  0.123  0.100 x8
La  0.086  0.334  0.915 x8
La  0.246  0.289  0.329 x8
Tb  0.000  0.429  0.250 x4
Y  0.231  0.467  0.596 x8
Mg  0.000  0.094  0.750 x4

**Magnetic moment**: 0.000 μB/f.u.
**Uncorrected energy**: -4.78 eV per atom



12.
The following is a GGA-PBE calculation of a geometry-optimized LaTbYMg structure, from the Alexandria database.

Cell: 3.751 3.751 8.860 Å, 90.00 90.00 90.00°
Space group P4mm (No. 99)
Asymmetric unit:
La  0.000  0.000  0.000 x1
Tb  0.500  0.500  0.281 x1
Y  0.500  0.500  0.716 x1
Mg  0.000  0.000  0.499 x1

**Magnetic moment**: 0.000 μB/f.u.
**Energy above the most stable polymorph in this dataset**: 0.0 meV/atom
**Uncorrected energy**: -4.43 eV per atom



13.
The following is a GGA-PBE calculation of a geometry-optimized La2TbY2Mg5 structure, from the Alexandria database.

Cell: 10.707 10.707 5.113 Å, 90.00 90.00 90.00°
Space group P4/mbm (No. 127)
Asymmetric unit:
La  0.176  0.324  0.000 x4
Tb  0.000  0.000  0.000 x2
Y  0.121  0.621  0.000 x4
Mg  0.000  0.500  0.500 x2
Mg  0.071  0.802  0.500 x8

**Magnetic moment**: 0.000 μB/f.u.
**Uncorrected energy**: -3.53 eV per atom



14.
The following is a GGA-PBE calculation of a geometry-optimized La2Tb2YMg5 structure, from the Alexandria database.

Cell: 10.662 10.662 5.121 Å, 90.00 90.00 90.00°
Space group P4/mbm (No. 127)
Asymmetric unit:
La  0.175  0.325  0.000 x4
Tb  0.122  0.622  0.000 x4
Y  0.000  0.000  0.000 x2
Mg  0.000  0.500  0.500 x2
Mg  0.071  0.803  0.500 x8

**Magnetic moment**: 0.000 μB/f.u.
**Uncorrected energy**: -3.36 eV per atom



15.
The following is a GGA-PBE calculation of a geometry-optimized LaTb6Y2Mg structure, from the Alexandria database.

Cell: 10.089 19.076 6.742 Å, 90.00 98.50 90.00°
Space group C2/c (No. 15)
Asymmetric unit:
La  0.000  0.015  0.250 x4
Tb  0.079  0.143  0.549 x8
Tb  0.101  0.413  0.477 x8
Tb  0.170  0.255  0.209 x8
Y  0.241  0.417  0.992 x8
Mg  0.000  0.291  0.750 x4

**Magnetic moment**: 0.000 μB/f.u.
**Uncorrected energy**: -4.61 eV per atom



16.
The following is a GGA-PBE calculation of a geometry-optimized LaTbMgZn structure, from the Alexandria database.

Cell: 7.544 7.544 7.544 Å, 90.00 90.00 90.00°
Space group F-43m (No. 216)
Asymmetric unit:
La  0.000  0.000  0.000 x4
Tb  0.000  0.000  0.500 x4
Mg  0.250  0.250  0.750 x4
Zn  0.250  0.250  0.250 x4

**Magnetic moment**: 0.001 μB/f.u.
**Energy above the most stable polymorph in this dataset**: 36.2 meV/atom
**Uncorrected energy**: -3.28 eV per atom



17.
The following is a GGA-PBE calculation of a geometry-optimized LaTbMgZn structure, from the Alexandria database.

Cell: 3.698 3.698 7.886 Å, 90.00 90.00 90.00°
Space group P4mm (No. 99)
Asymmetric unit:
La  0.000  0.000  0.000 x1
Tb  0.000  0.000  0.550 x1
Mg  0.500  0.500  0.291 x1
Zn  0.500  0.500  0.750 x1

**Magnetic moment**: 0.000 μB/f.u.
**Energy above the most stable polymorph in this dataset**: 0.0 meV/atom
**Uncorrected energy**: -3.32 eV per atom



18.
The following is a GGA-PBE calculation of a geometry-optimized LaTbMgZr structure, from the Alexandria database.

Cell: 7.700 7.700 7.700 Å, 90.00 90.00 90.00°
Space group F-43m (No. 216)
Asymmetric unit:
La  0.000  0.000  0.000 x4
Tb  0.000  0.000  0.500 x4
Mg  0.250  0.250  0.250 x4
Zr  0.250  0.250  0.750 x4

**Magnetic moment**: 1.774 μB/f.u.
**Uncorrected energy**: -4.80 eV per atom



19.
The following is a GGA-PBE calculation of a geometry-optimized LaMgTc structure, from the Alexandria database.

Cell: 3.529 3.529 11.028 Å, 90.00 90.00 90.00°
Space group I4mm (No. 107)
Asymmetric unit:
La  0.000  0.000  0.000 x2
Mg  0.000  0.000  0.277 x2
Tc  0.000  0.000  0.658 x2

**Magnetic moment**: 0.000 μB/f.u.
**Energy above the most stable polymorph in this dataset**: 232.8 meV/atom
**Uncorrected energy**: -5.37 eV per atom



20.
The following is a GGA-PBE calculation of a geometry-optimized LaMg2Tc structure, from the Alexandria database.

Cell: 3.155 5.094 5.568 Å, 90.00 104.77 90.00°
Space group P2/m (No. 10)
Asymmetric unit:
La  0.000  0.000  0.000 x1
Mg  0.371  0.500  0.716 x2
Tc  0.000  0.000  0.500 x1

**Magnetic moment**: 0.000 μB/f.u.
**Energy above the most stable polymorph in this dataset**: 58.6 meV/atom
**Uncorrected energy**: -4.44 eV per atom



21.
The following is a GGA-PBE calculation of a geometry-optimized LaMg4Tc structure, from the Alexandria database.

Cell: 8.110 8.110 8.110 Å, 90.00 90.00 90.00°
Space group F-43m (No. 216)
Asymmetric unit:
La  0.000  0.000  0.000 x4
Mg  0.124  0.124  0.624 x16
Tc  0.250  0.250  0.250 x4

**Magnetic moment**: 1.550 μB/f.u.
**Uncorrected energy**: -3.34 eV per atom